1.
# PBE-GGA Ca5In3Br12, relaxed
# ρ = 3.23 g/cm3
# Raw formation energy = -1.492 eV per atom
# Density of states at the Fermi level = 54.0 states/eV per cell
# Total DFT energy (no corrections) = -3.41 eV/atom
data_Ca5In3Br12
_cell_length_a 18.360
_cell_length_b 18.360
_cell_length_c 18.360
_cell_angle_alpha 90.00
_cell_angle_beta 90.00
_cell_angle_gamma 90.00
_space_group_name_H-M_alt 'I a -3 d'
_space_group_IT_number 230
_space_group_name_Hall '-I 4bd 2c 3'
loop_
_atom_site_label
_atom_site_type_symbol
_atom_site_fract_x
_atom_site_fract_y
_atom_site_fract_z
_atom_site_occupancy
Ca1 Ca 0.000 0.000 0.000 1
Ca2 Ca 0.000 0.250 0.375 1
In1 In 0.000 0.250 0.125 1
Br1 Br 0.030 0.057 0.646 1

2.
# PBE-GGA Sc2PaAsO8, relaxed
# ρ = 5.88 g/cm3
# Raw formation energy = -2.806 eV per atom
# Density of states at the Fermi level = 0.0 states/eV per cell
# Total DFT energy (no corrections) = -8.35 eV/atom
data_Sc2PaAsO8
_cell_length_a 6.670
_cell_length_b 6.795
_cell_length_c 6.534
_cell_angle_alpha 90.00
_cell_angle_beta 90.00
_cell_angle_gamma 90.00
_space_group_name_H-M_alt 'C m m m'
_space_group_IT_number 65
_space_group_name_Hall '-C 2 2'
loop_
_atom_site_label
_atom_site_type_symbol
_atom_site_fract_x
_atom_site_fract_y
_atom_site_fract_z
_atom_site_occupancy
Sc1 Sc 0.000 0.000 0.232 1
Pa1 Pa 0.000 0.500 0.500 1
As1 As 0.000 0.500 0.000 1
O1 O 0.000 0.314 0.215 1
O2 O 0.188 0.000 0.500 1
O3 O 0.219 0.000 0.000 1

3.
# PBE-GGA Sm3PuSe4, relaxed
# ρ = 8.21 g/cm3
# Raw formation energy = -1.764 eV per atom
# Density of states at the Fermi level = 19.3 states/eV per cell
# ΔE to the lowest computed polymorph = 0.0041 eV per atom
# Total DFT energy (no corrections) = -7.07 eV/atom
data_Sm3PuSe4
_cell_length_a 8.369
_cell_length_b 11.777
_cell_length_c 4.147
_cell_angle_alpha 90.00
_cell_angle_beta 90.00
_cell_angle_gamma 90.00
_space_group_name_H-M_alt 'C m m m'
_space_group_IT_number 65
_space_group_name_Hall '-C 2 2'
loop_
_atom_site_label
_atom_site_type_symbol
_atom_site_fract_x
_atom_site_fract_y
_atom_site_fract_z
_atom_site_occupancy
Sm1 Sm 0.000 0.000 0.000 1
Sm2 Sm 0.250 0.250 0.500 1
Pu1 Pu 0.000 0.500 0.000 1
Se1 Se 0.000 0.251 0.000 1
Se2 Se 0.248 0.500 0.500 1

4.
# PBE-GGA Si2TcAg, relaxed
# ρ = 7.34 g/cm3
# Raw formation energy = -0.015 eV per atom
# Density of states at the Fermi level = 1.8 states/eV per cell
# ΔE to the lowest computed polymorph = 0.0431 eV per atom
# Total DFT energy (no corrections) = -6.03 eV/atom
data_Si2TcAg
_cell_length_a 3.102
_cell_length_b 3.102
_cell_length_c 6.161
_cell_angle_alpha 90.00
_cell_angle_beta 90.00
_cell_angle_gamma 90.00
_space_group_name_H-M_alt 'P 4/m m m'
_space_group_IT_number 123
_space_group_name_Hall '-P 4 2'
loop_
_atom_site_label
_atom_site_type_symbol
_atom_site_fract_x
_atom_site_fract_y
_atom_site_fract_z
_atom_site_occupancy
Si1 Si 0.000 0.000 0.215 1
Tc1 Tc 0.500 0.500 0.000 1
Ag1 Ag 0.500 0.500 0.500 1

5.
# PBE-GGA Rb2LaY, relaxed
# ρ = 3.41 g/cm3
# Density of states at the Fermi level = 27.0 states/eV per cell
# ΔH_f (0 K) = 887.1 meV/atom
# Total DFT energy (no corrections) = -2.44 eV/atom
data_Rb2LaY
_cell_length_a 10.606
_cell_length_b 10.606
_cell_length_c 6.898
_cell_angle_alpha 90.00
_cell_angle_beta 90.00
_cell_angle_gamma 90.00
_space_group_name_H-M_alt 'I -4 2 d'
_space_group_IT_number 122
_space_group_name_Hall 'I -4 2bw'
loop_
_atom_site_label
_atom_site_type_symbol
_atom_site_fract_x
_atom_site_fract_y
_atom_site_fract_z
_atom_site_occupancy
Rb1 Rb 0.249 0.250 0.125 1
La1 La 0.000 0.000 0.500 1
Y1 Y 0.000 0.000 0.000 1

6.
# PBE-GGA TaIr3N, relaxed
# ρ = 18.27 g/cm3
# Raw formation energy = 0.428 eV per atom
# Density of states at the Fermi level = 4.9 states/eV per cell
# ΔE to the lowest computed polymorph = 0.0000 eV per atom
# Total DFT energy (no corrections) = -8.92 eV/atom
data_TaIr3N
_cell_length_a 4.124
_cell_length_b 4.124
_cell_length_c 4.124
_cell_angle_alpha 90.00
_cell_angle_beta 90.00
_cell_angle_gamma 90.00
_space_group_name_H-M_alt 'P m -3 m'
_space_group_IT_number 221
_space_group_name_Hall '-P 4 2 3'
loop_
_atom_site_label
_atom_site_type_symbol
_atom_site_fract_x
_atom_site_fract_y
_atom_site_fract_z
_atom_site_occupancy
Ta1 Ta 0.000 0.000 0.000 1
Ir1 Ir 0.000 0.500 0.500 1
N1 N 0.500 0.500 0.500 1

Question: Which of these has the lowest total DFT energy (no corrections)?
Answer: TaIr3N

Question: Which formula does entry 3 have?
Answer: Sm3PuSe4